# 1
TaSbTe2Se (GGA-PBEsol, optimized geometry); crystal system = tetragonal; formation energy (no corrections) = 1.235 eV/atom; total magnetic moment = 1.81 μB/f.u.; SG = No. 123; V = 142 Å³/f.u.
1.0
5.2530 0.0000 0.0000
0.0000 5.2530 0.0000
0.0000 0.0000 5.1330
Ta Te Se Sb
1 2 1 1
Direct
0.5000 0.5000 0.5000 Ta
0.5000 0.0000 0.0000 Te
0.0000 0.5000 0.0000 Te
0.0000 0.0000 0.0000 Se
0.0000 0.0000 0.5000 Sb

# 2
Al4Ag3 (GGA-PBEsol, optimized geometry); energy relative to the lowest polymorph listed for this composition = 0.014 eV per atom; crystal system = tetragonal; formation enthalpy at 0 K = -0.054 eV/atom; total magnetic moment = 0.00 μB/f.u.; SG = No. 107; V = 113 Å³/f.u.
1.0
2.8571 0.0000 0.0000
0.0000 2.8571 0.0000
-1.4285 -1.4285 13.8602
Al Ag
4 3
Direct
0.8573 0.8573 0.7145 Al
0.5693 0.5693 0.1385 Al
0.1428 0.1428 0.2855 Al
0.7169 0.7169 0.4337 Al
0.4249 0.4249 0.8497 Ag
0.2875 0.2875 0.5750 Ag
0.0015 0.0015 0.0030 Ag

# 3
Be4TcMo (GGA-PBEsol, optimized geometry); crystal system = cubic; formation enthalpy at 0 K = -0.370 eV/atom; total magnetic moment = 0.00 μB/f.u.; SG = No. 216; V = 59 Å³/f.u.
1.0
4.3666 0.0000 0.0000
2.1833 3.7816 0.0000
2.1833 1.2605 3.5653
Mo Be Tc
1 4 1
Direct
0.2500 0.2500 0.2500 Mo
0.6246 0.6246 0.6246 Be
0.6246 0.6246 0.1261 Be
0.6246 0.1261 0.6246 Be
0.1261 0.6246 0.6246 Be
0.0000 0.0000 0.0000 Tc

# 4
CdInNi2 (GGA-PBEsol, optimized geometry); crystal system = tetragonal; formation enthalpy at 0 K = -0.062 eV/atom; total magnetic moment = 0.00 μB/f.u.; SG = No. 123; V = 59 Å³/f.u.
1.0
-2.0386 -2.3095 -0.4626
2.4917 -1.5614 -3.1853
2.1304 -2.4553 2.8700
Ni Cd In
2 1 1
Direct
0.0000 0.0000 0.1250 Ni
0.0000 0.5000 0.6251 Ni
0.5000 0.0000 0.6249 Cd
0.5000 0.5000 0.1250 In

# 5
Re2PtAu (GGA-PBEsol, optimized geometry); energy relative to the lowest polymorph listed for this composition = 0.036 eV per atom; crystal system = monoclinic; formation enthalpy at 0 K = 0.261 eV/atom; total magnetic moment = 0.00 μB/f.u.; SG = No. 10; V = 60 Å³/f.u.
1.0
-0.9058 2.3217 1.1524
-3.3884 0.3416 -3.3517
-1.7286 -2.5379 3.7543
Re Pt Au
2 1 1
Direct
0.5000 0.5000 0.0000 Re
0.0000 0.0000 0.0000 Re
0.0000 0.5000 0.5000 Pt
0.5000 0.0000 0.5000 Au

# 6
RbTcSn2 (GGA-PBEsol, optimized geometry); crystal system = cubic; formation enthalpy at 0 K = 0.747 eV/atom; total magnetic moment = 1.45 μB/f.u.; SG = No. 225; V = 91 Å³/f.u.
1.0
-4.1662 2.5682 1.2648
-4.5467 -2.1492 -0.5111
-2.6421 -1.3301 4.0992
Sn Tc Rb
2 1 1
Direct
0.2500 0.2500 0.2500 Sn
0.7500 0.7500 0.7500 Sn
0.5000 0.5000 0.5000 Tc
0.0000 0.0000 0.0000 Rb

# 7
CaTa2Cr (GGA-PBEsol, optimized geometry); energy relative to the lowest polymorph listed for this composition = 0.300 eV per atom; crystal system = monoclinic; formation enthalpy at 0 K = 0.834 eV/atom; total magnetic moment = 2.69 μB/f.u.; SG = No. 12; V = 74 Å³/f.u.
1.0
2.8259 -0.1022 0.0000
-1.0283 5.3138 0.0000
-0.8988 -2.6058 4.9755
Ta Cr Ca
2 1 1
Direct
0.0000 0.0000 0.5000 Ta
0.5000 0.5000 0.5000 Ta
0.5000 0.0000 0.0000 Cr
0.0000 0.5000 0.0000 Ca

# 8
MgCuTe2 (GGA-PBEsol, optimized geometry); energy relative to the lowest polymorph listed for this composition = 0.218 eV per atom; crystal system = tetragonal; formation energy (no corrections) = -0.033 eV/atom; total magnetic moment = 0.00 μB/f.u.; SG = No. 119; V = 93 Å³/f.u.
1.0
3.9107 0.0000 0.0000
0.0000 3.9107 0.0000
-1.9554 -1.9554 6.0746
Te Mg Cu
2 1 1
Direct
0.7500 0.2500 0.5000 Te
0.0000 0.0000 0.0000 Te
0.2500 0.7500 0.5000 Mg
0.5000 0.5000 0.0000 Cu

# 9
Pr4Ga2O9 (GGA-PBEsol, optimized geometry); crystal system = monoclinic; formation energy (no corrections) = -2.901 eV/atom; total magnetic moment = 0.00 μB/f.u.; SG = No. 14; V = 235 Å³/f.u.
1.0
-5.0997 5.1290 2.9828
-7.6182 -7.9658 0.6726
5.8996 -4.9164 8.5965
O Pr Ga
36 16 8
Direct
0.5698 0.9896 0.3992 O
0.7649 0.2781 0.7321 O
0.7773 0.0321 0.8249 O
0.6397 0.7723 0.9596 O
0.4318 0.7509 0.6120 O
0.2951 0.4666 0.3195 O
0.4302 0.0104 0.6008 O
0.5682 0.2491 0.3880 O
0.2351 0.7219 0.2679 O
0.9273 0.2671 0.5253 O
0.9237 0.5053 0.1046 O
0.2227 0.5321 0.6751 O
0.7840 0.7210 0.2487 O
0.7773 0.4679 0.3249 O
0.5682 0.2509 0.8880 O
0.7049 0.9666 0.1805 O
0.4318 0.7491 0.1120 O
0.0727 0.7329 0.4747 O
0.4302 0.4896 0.1008 O
0.0763 0.0053 0.3954 O
0.2160 0.2210 0.2513 O
0.2160 0.2790 0.7513 O
0.7840 0.7790 0.7487 O
0.2951 0.0334 0.8195 O
0.6397 0.7277 0.4596 O
0.2351 0.7781 0.7679 O
0.3603 0.2723 0.5404 O
0.0727 0.7671 0.9747 O
0.9237 0.9947 0.6046 O
0.7049 0.5334 0.6805 O
0.2227 0.9679 0.1751 O
0.5698 0.5104 0.8992 O
0.3603 0.2277 0.0404 O
0.7649 0.2219 0.2321 O
0.9273 0.2329 0.0253 O
0.0763 0.4947 0.8954 O
0.0248 0.9130 0.8074 Pr
0.1658 0.3787 0.0896 Pr
0.8342 0.8787 0.4104 Pr
0.5211 0.8966 0.7823 Pr
0.4789 0.1034 0.2177 Pr
0.0248 0.5870 0.3074 Pr
0.4789 0.3966 0.7177 Pr
0.5211 0.6034 0.2823 Pr
0.6678 0.1217 0.5736 Pr
0.8342 0.6213 0.9104 Pr
0.3322 0.8783 0.4264 Pr
0.9752 0.0870 0.1926 Pr
0.3322 0.6217 0.9264 Pr
0.6678 0.3783 0.0736 Pr
0.1658 0.1213 0.5896 Pr
0.9752 0.4130 0.6926 Pr
0.7825 0.1900 0.8727 Ga
0.6551 0.8133 0.1154 Ga
0.6551 0.6867 0.6154 Ga
0.3449 0.3133 0.3846 Ga
0.2175 0.6900 0.6273 Ga
0.7825 0.3100 0.3727 Ga
0.2175 0.8100 0.1273 Ga
0.3449 0.1867 0.8846 Ga

# 10
Dy6AgGe2S14 (GGA-PBEsol, optimized geometry); crystal system = trigonal; formation energy (no corrections) = -1.487 eV/atom; total magnetic moment = 0.00 μB/f.u.; SG = No. 143; V = 463 Å³/f.u.
1.0
-4.5454 -2.4885 2.1983
-2.2103 -3.6875 -8.7445
5.7002 -5.0189 6.1048
Dy S Ge Ag
6 14 2 1
Direct
0.7603 0.3558 0.1293 Dy
0.2610 0.1306 0.7748 Dy
0.2610 0.2252 0.3558 Dy
0.7603 0.7735 0.6442 Dy
0.7603 0.8707 0.2265 Dy
0.2610 0.6442 0.8694 Dy
0.0650 0.3333 0.6667 S
0.2854 0.8367 0.7377 S
0.5147 0.4834 0.5792 S
0.7781 0.1659 0.2612 S
0.0189 0.5800 0.0958 S
0.5147 0.4208 0.9042 S
0.5700 0.6667 0.3333 S
0.7781 0.7388 0.9047 S
0.0189 0.5158 0.4200 S
0.2854 0.9010 0.1633 S
0.2854 0.2623 0.0990 S
0.7781 0.0953 0.8341 S
0.0189 0.9042 0.4842 S
0.5147 0.0958 0.5166 S
0.6782 0.3333 0.6667 Ge
0.1837 0.6667 0.3333 Ge
0.5289 0.0000 0.0000 Ag

# 11
BaLaZnOs2 (GGA-PBEsol, optimized geometry); crystal system = tetragonal; formation enthalpy at 0 K = 1.179 eV/atom; total magnetic moment = 0.00 μB/f.u.; SG = No. 123; V = 117 Å³/f.u.
1.0
4.7839 0.0000 0.0000
0.0000 4.7839 0.0000
0.0000 0.0000 5.1051
Os Ba La Zn
2 1 1 1
Direct
0.5000 0.0000 0.0000 Os
0.0000 0.5000 0.0000 Os
0.0000 0.0000 0.5000 Ba
0.5000 0.5000 0.5000 La
0.0000 0.0000 0.0000 Zn

# 12
Ca2NbHgO (GGA-PBEsol, optimized geometry); crystal system = tetragonal; formation energy (no corrections) = -0.961 eV/atom; total magnetic moment = 0.28 μB/f.u.; SG = No. 123; V = 94 Å³/f.u.
1.0
-3.3414 -1.6021 2.2324
2.9338 -1.5114 3.3065
-0.4446 4.0678 2.2538
Ca Nb O Hg
2 1 1 1
Direct
0.0000 0.0000 0.5000 Ca
0.0000 0.5000 0.0000 Ca
0.5000 0.0000 0.0000 Nb
0.0000 0.0000 0.0000 O
0.5000 0.5000 0.5000 Hg

# 13
MgPb3 (GGA-PBEsol, optimized geometry); crystal system = tetragonal; formation enthalpy at 0 K = 0.011 eV/atom; total magnetic moment = 0.00 μB/f.u.; SG = No. 123; V = 112 Å³/f.u.
1.0
-2.2861 2.3982 1.2579
-0.3298 -2.8525 4.8390
4.2869 3.0044 2.0633
Pb Mg
3 1
Direct
0.5000 0.0000 0.5000 Pb
0.0000 0.5000 0.5000 Pb
0.5000 0.5000 0.0000 Pb
0.0000 0.0000 0.0000 Mg

# 14
ScBeFe2 (GGA-PBEsol, optimized geometry); crystal system = trigonal; formation enthalpy at 0 K = 0.362 eV/atom; total magnetic moment = 4.40 μB/f.u.; SG = No. 160; V = 52 Å³/f.u.
1.0
2.7947 0.0000 0.0000
1.3973 2.4202 0.0000
1.3973 0.8067 7.7067
Be Fe Sc
1 2 1
Direct
0.7385 0.7385 0.7844 Be
0.2597 0.2597 0.2210 Fe
0.0027 0.0027 0.9920 Fe
0.4991 0.4991 0.5026 Sc

# 15
SrAlTl2 (GGA-PBEsol, optimized geometry); crystal system = tetragonal; formation enthalpy at 0 K = -0.165 eV/atom; total magnetic moment = 0.00 μB/f.u.; SG = No. 139; V = 105 Å³/f.u.
1.0
5.3272 0.0000 0.0000
-2.6636 4.5723 0.0739
0.0000 3.0327 4.3798
Sr Tl Al
1 2 1
Direct
0.0000 0.0000 0.0000 Sr
0.7500 0.5000 0.7500 Tl
0.2500 0.5000 0.2500 Tl
0.5000 0.0000 0.5000 Al

# 16
ZnAgAs2 (GGA-PBEsol, optimized geometry); crystal system = tetragonal; formation enthalpy at 0 K = 0.234 eV/atom; total magnetic moment = 0.00 μB/f.u.; SG = No. 123; V = 69 Å³/f.u.
1.0
-1.3565 -2.5723 0.6716
1.4883 -1.3596 -2.2010
5.7403 -1.7340 4.9528
Zn As Ag
1 2 1
Direct
0.5000 0.5000 0.0000 Zn
0.0000 0.0000 0.7585 As
0.0000 0.0000 0.2415 As
0.5000 0.5000 0.5000 Ag

# 17
BaAg2Rh (GGA-PBEsol, optimized geometry); energy relative to the lowest polymorph listed for this composition = 0.000 eV per atom; crystal system = monoclinic; formation enthalpy at 0 K = 0.183 eV/atom; total magnetic moment = 0.00 μB/f.u.; SG = No. 6; V = 91 Å³/f.u.
1.0
3.8341 0.0000 -0.0135
0.0000 4.0809 0.0000
-1.7639 0.0000 5.8292
Ag Ba Rh
2 1 1
Direct
0.7366 0.5000 0.1142 Ag
0.2042 0.0000 0.0506 Ag
0.4889 0.0000 0.5799 Ba
0.0704 0.5000 0.7553 Rh

# 18
Mg3Mn2Al18 (GGA-PBEsol, optimized geometry); crystal system = cubic; formation enthalpy at 0 K = -0.101 eV/atom; total magnetic moment = 0.47 μB/f.u.; SG = No. 227; V = 368 Å³/f.u.
1.0
10.1336 0.0000 0.0000
5.0668 8.7760 0.0000
5.0668 2.9253 8.2741
Al Mg Mn
36 6 4
Direct
0.2980 0.2980 0.5671 Al
0.6829 0.9520 0.4131 Al
0.1136 0.3864 0.3864 Al
0.1136 0.3864 0.1136 Al
0.3864 0.1136 0.1136 Al
0.2980 0.5671 0.8369 Al
0.9520 0.9520 0.4131 Al
0.8369 0.2980 0.2980 Al
0.9520 0.4131 0.6829 Al
0.2980 0.5671 0.2980 Al
0.2980 0.8369 0.5671 Al
0.6829 0.4131 0.9520 Al
0.4131 0.9520 0.9520 Al
0.8636 0.1364 0.1364 Al
0.6829 0.9520 0.9520 Al
0.8369 0.5671 0.2980 Al
0.5671 0.2980 0.2980 Al
0.2980 0.8369 0.2980 Al
0.4131 0.9520 0.6829 Al
0.1364 0.1364 0.8636 Al
0.3864 0.1136 0.3864 Al
0.8636 0.1364 0.8636 Al
0.9520 0.6829 0.4131 Al
0.3864 0.3864 0.1136 Al
0.8636 0.8636 0.1364 Al
0.4131 0.6829 0.9520 Al
0.9520 0.6829 0.9520 Al
0.8369 0.2980 0.5671 Al
0.9520 0.9520 0.6829 Al
0.1364 0.8636 0.1364 Al
0.9520 0.4131 0.9520 Al
0.5671 0.8369 0.2980 Al
0.5671 0.2980 0.8369 Al
0.1136 0.1136 0.3864 Al
0.1364 0.8636 0.8636 Al
0.2980 0.2980 0.8369 Al
0.7500 0.7500 0.7500 Mg
0.6250 0.6250 0.1250 Mg
0.1250 0.6250 0.6250 Mg
0.6250 0.6250 0.6250 Mg
0.6250 0.1250 0.6250 Mg
0.5000 0.5000 0.5000 Mg
0.6250 0.1250 0.1250 Mn
0.1250 0.1250 0.6250 Mn
0.1250 0.6250 0.1250 Mn
0.1250 0.1250 0.1250 Mn

# 19
HgMoBr2 (GGA-PBEsol, optimized geometry); energy relative to the lowest polymorph listed for this composition = 0.000 eV per atom; crystal system = trigonal; formation energy (no corrections) = -0.063 eV/atom; total magnetic moment = 0.00 μB/f.u.; SG = No. 166; V = 92 Å³/f.u.
1.0
-2.5117 1.9350 0.7833
-2.4355 -1.1523 1.8457
3.1570 3.1914 9.0478
Br Hg Mo
2 1 1
Direct
0.2736 0.2736 0.1791 Br
0.7264 0.7264 0.8209 Br
0.5000 0.5000 0.5000 Hg
0.0000 0.0000 0.0000 Mo

# 20
BaMnMo (GGA-PBEsol, optimized geometry); crystal system = cubic; formation enthalpy at 0 K = 2.294 eV/atom; total magnetic moment = 1.30 μB/f.u.; SG = No. 216; V = 76 Å³/f.u.
1.0
4.7610 0.0000 0.0000
2.3805 4.1232 0.0000
2.3805 1.3744 3.8874
Mn Mo Ba
1 1 1
Direct
0.0000 0.0000 0.0000 Mn
0.5000 0.5000 0.5000 Mo
0.7500 0.7500 0.7500 Ba

# 21
Sc2BeTl (GGA-PBEsol, optimized geometry); energy relative to the lowest polymorph listed for this composition = 0.137 eV per atom; crystal system = trigonal; formation enthalpy at 0 K = 0.015 eV/atom; total magnetic moment = 0.00 μB/f.u.; SG = No. 166; V = 82 Å³/f.u.
1.0
3.3426 0.0000 0.0000
1.6713 2.8947 0.0000
1.6713 0.9649 8.4429
Tl Sc Be
1 2 1
Direct
0.5000 0.5000 0.5000 Tl
0.2634 0.2634 0.2099 Sc
0.7366 0.7366 0.7901 Sc
0.0000 0.0000 0.0000 Be

# 22
NiPb2Se (GGA-PBEsol, optimized geometry); crystal system = tetragonal; formation energy (no corrections) = 0.128 eV/atom; total magnetic moment = 0.00 μB/f.u.; SG = No. 123; V = 85 Å³/f.u.
1.0
-0.8260 -3.0042 1.5208
3.0181 -1.3552 -1.0379
3.0343 2.1837 5.9721
Ni Pb Se
1 2 1
Direct
0.5000 0.5000 0.5000 Ni
0.0013 0.0000 0.7260 Pb
0.9987 0.0000 0.2740 Pb
0.5000 0.5000 0.0000 Se

# 23
As2PIr (GGA-PBEsol, optimized geometry); crystal system = orthorhombic; formation enthalpy at 0 K = 0.417 eV/atom; total magnetic moment = 0.00 μB/f.u.; SG = No. 47; V = 61 Å³/f.u.
1.0
2.9018 0.0000 0.0000
0.0000 4.5823 0.0000
0.0000 0.0000 4.6242
As P Ir
2 1 1
Direct
0.0000 0.0000 0.0000 As
0.5000 0.5000 0.0000 As
0.0000 0.5000 0.5000 P
0.5000 0.0000 0.5000 Ir